Computed, not measured: crystalline SrY2Ni at its relaxed geometry at the GGA-PBE level of DFT.

Magnetization   0.7 μB per formula unit
Relative energy among the computed polymorphs   31 kJ/mol of formula units
D(E_F)   1.130 states/eV per atom

Cell lengths 3.610, 3.610, 8.977 Å; angles 90.00, 90.00, 90.00 degrees
Space group P4mm (No. 99)
Inequivalent atoms, fractional coordinates:
Sr 0.000 0.000 0.000 x1
Y 0.000 0.000 0.623 x1
Y 0.500 0.500 0.344 x1
Ni 0.500 0.500 0.765 x1



Computed, not measured: crystalline Sr2YNi2 at its relaxed geometry at the GGA-PBE level of DFT.

Magnetization   0.0 μB per formula unit
Relative energy among the computed polymorphs   231 kJ/mol of formula units
D(E_F)   0.887 states/eV per atom

Cell lengths 5.199, 5.199, 10.306 Å; angles 90.00, 90.00, 90.00 degrees
Space group I4/mmm (No. 139)
Inequivalent atoms, fractional coordinates:
Sr 0.000 0.000 0.155 x4
Y 0.000 0.000 0.500 x2
Ni 0.000 0.500 0.250 x4



Computed, not measured: crystalline SrY4Ni at its relaxed geometry at the GGA-PBE level of DFT.

E   -4.906 eV/atom
Magnetization   0.0 μB per formula unit
D(E_F)   1.504 states/eV per atom

Cell lengths 9.257, 9.257, 9.257 Å; angles 90.00, 90.00, 90.00 degrees
Space group F-43m (No. 216)
Inequivalent atoms, fractional coordinates:
Sr 0.000 0.000 0.000 x4
Y 0.124 0.124 0.624 x16
Ni 0.250 0.250 0.250 x4